[1]
Computed, not measured: a geometry-optimized TcTe structure at the PBE level of DFT.

a b c (Å): 4.790 4.790 4.790
angles (deg): 60.00 60.00 60.00
Fractional coordinates of all 4 atoms:
Tc  0.125  0.125  0.125
Tc  0.875  0.875  0.875
Te  0.375  0.375  0.375
Te  0.625  0.625  0.625

Computed properties:
spin magnetization = 0.59 μB/cell
DFT total energy = -5.74 eV/atom
symmetry = Fd-3m



[2]
Computed, not measured: a geometry-optimized Tc2Te structure at the PBE level of DFT.

a b c (Å): 9.767 9.767 4.352
angles (deg): 90.00 90.00 162.30
Fractional coordinates of all 6 atoms:
Tc  0.036  0.964  0.750
Tc  0.425  0.575  0.750
Tc  0.575  0.425  0.250
Tc  0.964  0.036  0.250
Te  0.337  0.663  0.250
Te  0.663  0.337  0.750

Computed properties:
spin magnetization = 0.00 μB/cell
DFT total energy = -7.96 eV/atom
symmetry = Cmcm



[3]
Computed, not measured: a geometry-optimized TcTe structure at the PBE level of DFT.

a b c (Å): 4.250 4.250 7.806
angles (deg): 113.40 113.40 56.52
Fractional coordinates of all 4 atoms:
Tc  0.000  0.000  0.000
Tc  0.650  0.650  0.918
Te  0.419  0.419  0.199
Te  0.974  0.974  0.650

Computed properties:
spin magnetization = 0.00 μB/cell
DFT total energy = -6.62 eV/atom
symmetry = Cm



[4]
Computed, not measured: a geometry-optimized TcTe structure at the PBE level of DFT.

a b c (Å): 5.566 5.566 5.566
angles (deg): 138.48 138.48 60.17
Fractional coordinates of all 4 atoms:
Tc  0.375  0.625  0.750
Tc  0.625  0.375  0.250
Te  0.125  0.875  0.250
Te  0.875  0.125  0.750

Computed properties:
spin magnetization = 0.00 μB/cell
DFT total energy = -6.04 eV/atom
symmetry = I4_1/amd



[5]
Computed, not measured: a geometry-optimized Tc3Te structure at the PBE level of DFT.

a b c (Å): 4.494 4.494 4.494
angles (deg): 60.00 60.00 60.00
Fractional coordinates of all 4 atoms:
Tc  0.000  0.000  0.000
Tc  0.250  0.250  0.250
Tc  0.750  0.750  0.750
Te  0.500  0.500  0.500

Computed properties:
spin magnetization = 0.64 μB/cell
DFT total energy = -8.14 eV/atom
symmetry = Fm-3m



[6]
Computed, not measured: a geometry-optimized Tc3Te structure at the PBE level of DFT.

a b c (Å): 5.314 5.314 5.314
angles (deg): 145.85 129.75 62.15
Fractional coordinates of all 4 atoms:
Tc  0.000  0.000  0.000
Tc  0.269  0.769  0.500
Tc  0.731  0.231  0.500
Te  0.500  0.500  0.000

Computed properties:
spin magnetization = 0.00 μB/cell
DFT total energy = -8.19 eV/atom
symmetry = Immm



ΔE_f (raw) / eV per atom: 1.012, -0.005, 0.135, 0.712, 0.416, 0.370